Entry from Alexandria via LeMat-Bulk: crystalline BaTaCu at its relaxed geometry (GGA-PBE).

```
12
Lattice="8.4463 0.0000 0.0000 0.0000 6.2375 0.0000 0.0000 0.0000 5.4855" Properties=species:S:1:pos:R:3 pbc="T T T"
Ba 0.0000 0.0000 0.0000
Ba 4.2232 3.1188 2.7428
Ba 4.2232 0.0000 2.7428
Ba 0.0000 3.1188 0.0000
Cu 5.7486 1.5594 5.4851
Cu 6.9209 4.6781 2.7423
Cu 2.6978 4.6781 0.0004
Cu 1.5254 1.5594 2.7432
Ta 3.2859 1.5594 5.4855
Ta 0.9372 4.6781 2.7427
Ta 5.1604 4.6781 0.0001
Ta 7.5091 1.5594 2.7428
```

Properties
**DFT formation energy**: 1.2129 eV per atom
**Crystal system**: orthorhombic
**Fermi-level density of states**: 4.1 states/eV/f.u.
**Distance to the lowest polymorph of the same formula**: 903 meV/atom
**Magnetic moment**: 0.00 μB/f.u.
**Calculated volume**: 289.0 Å³/cell
**Space group**: Cmcm, No. 63
**Theoretical density**: 8.8 g cm⁻³